(1)
RbBaTl2Bi2: optimized geometry, PBE.

Calculated values
total magnetic moment	0.00	μB/f.u.
DFT formation energy	-0.366	eV/atom
V	229	Å³/cell

Lattice parameters (Å, degrees): 5.6695 5.6695 8.2238 90.00 90.00 120.00
Space group P-3m1 (No. 164)
One atom of each set of equivalent atoms:
Rb  0.0000  0.0000  0.0000 [1 per cell]
Ba  0.0000  0.0000  0.5000 [1 per cell]
Tl  0.3333  0.6667  0.1878 [2 per cell]
Bi  0.3333  0.6667  0.7391 [2 per cell]

---

(2)
Ca4C5: optimized geometry, PBE.

Calculated values
total magnetic moment	0.00	μB/f.u.
DFT formation energy	1.619	eV/atom
offset from the most stable computed form	998.7	meV per atom
V	273	Å³/cell

Lattice parameters (Å, degrees): 7.4753 7.4753 5.6504 90.00 90.00 120.00
Space group P6_3/mcm (No. 193)
One atom of each set of equivalent atoms:
Ca  0.0000  0.0000  0.0000 [2 per cell]
Ca  0.0000  0.3867  0.2500 [6 per cell]
C  0.0000  0.2892  0.7500 [6 per cell]
C  0.3333  0.6667  0.0000 [4 per cell]

---

(3)
ZrCu2Sb: optimized geometry, PBE.

Calculated values
total magnetic moment	0.00	μB/f.u.
E_form (uncorrected)	-0.01	eV per atom
V	145	Å³/cell

Lattice parameters (Å, degrees): 9.211 3.210 5.015 90.00 101.40 90.00
Space group C2/m (No. 12)
One atom of each set of equivalent atoms:
Zr  0.000  0.000  0.000 [2 per cell]
Cu  0.250  0.000  0.767 [4 per cell]
Sb  0.000  0.500  0.500 [2 per cell]

---

(4)
CeHo2Rh: optimized geometry, PBE.

Calculated values
total magnetic moment	1.82	μB/f.u.
DFT formation energy	-0.278	eV/atom
offset from the most stable computed form	194.8	meV per atom
V	344	Å³/cell

Lattice parameters (Å, degrees): 3.7752 3.7752 27.8828 90.00 90.00 120.00
Space group R3m (No. 160, hexagonal axes)
One atom of each set of equivalent atoms:
Ce  0.0000  0.0000  0.0000 [3 per cell]
Ho  0.0000  0.0000  0.5574 [3 per cell]
Ho  0.0000  0.0000  0.7727 [3 per cell]
Rh  0.0000  0.0000  0.1648 [3 per cell]

---

(5)
Li2LaCd3: optimized geometry, PBE.

Calculated values
total magnetic moment	0.00	μB/f.u.
DFT formation energy	-0.257	eV/atom
V	281	Å³/cell

Lattice parameters (Å, degrees): 4.8052 4.8052 14.0621 90.00 90.00 120.00
Space group P6_3/mmc (No. 194)
One atom of each set of equivalent atoms:
Li  0.3333  0.6667  0.0722 [4 per cell]
La  0.0000  0.0000  0.2500 [2 per cell]
Cd  0.0000  0.0000  0.0000 [2 per cell]
Cd  0.3333  0.6667  0.6241 [4 per cell]

---

(6)
Sm6Pt2I3Br: optimized geometry, PBE.

Calculated values
total magnetic moment	0.00	μB/f.u.
E_form (uncorrected)	-1.08	eV per atom
V	771	Å³/cell

Lattice parameters (Å, degrees): 7.592 13.106 8.145 90.00 107.98 90.00
Space group C2/m (No. 12)
One atom of each set of equivalent atoms:
Sm  0.194  0.000  0.189 [4 per cell]
Sm  0.249  0.315  0.192 [8 per cell]
Pt  0.000  0.167  0.000 [4 per cell]
I  0.000  0.000  0.500 [2 per cell]
I  0.000  0.341  0.500 [4 per cell]
Br  0.000  0.500  0.000 [2 per cell]

---

(7)
In2GaRu: optimized geometry, PBE.

Calculated values
total magnetic moment	0.00	μB/f.u.
DFT formation energy	0.184	eV/atom
V	248	Å³/cell

Lattice parameters (Å, degrees): 3.1383 3.1383 29.1058 90.00 90.00 120.00
Space group R-3m (No. 166, hexagonal axes)
One atom of each set of equivalent atoms:
In  0.0000  0.0000  0.0953 [6 per cell]
Ga  0.0000  0.0000  0.0000 [3 per cell]
Ru  0.0000  0.0000  0.5000 [3 per cell]

---

(8)
GeOsPtPb2: optimized geometry, PBE.

Calculated values
total magnetic moment	0.00	μB/f.u.
DFT formation energy	1.181	eV/atom
V	141	Å³/cell

Lattice parameters (Å, degrees): 5.387 5.387 4.852 90.00 90.00 90.00
Space group P4/mmm (No. 123)
One atom of each set of equivalent atoms:
Ge  0.000  0.000  0.000 [1 per cell]
Os  0.500  0.500  0.000 [1 per cell]
Pt  0.500  0.500  0.500 [1 per cell]
Pb  0.000  0.500  0.500 [2 per cell]

---

(9)
EuSi6: optimized geometry, PBE.

Calculated values
total magnetic moment	7.13	μB/f.u.
E_form (uncorrected)	-0.12	eV per atom
offset from the most stable computed form	0.0	meV per atom
V	528	Å³/cell

Lattice parameters (Å, degrees): 4.431 10.299 11.573 90.00 90.00 90.00
Space group Cmcm (No. 63)
One atom of each set of equivalent atoms:
Eu  0.000  0.220  0.250 [4 per cell]
Si  0.000  0.060  0.648 [8 per cell]
Si  0.000  0.255  0.539 [8 per cell]
Si  0.000  0.478  0.603 [8 per cell]

---

(10)
La2Pm6Sm3Sc: optimized geometry, PBE.

Calculated values
total magnetic moment	0.00	μB/f.u.
DFT formation energy	0.028	eV/atom
V	812	Å³/cell

Lattice parameters (Å, degrees): 6.286 10.883 12.057 90.00 100.11 90.00
Space group C2/m (No. 12)
One atom of each set of equivalent atoms:
La  0.000  0.167  0.000 [4 per cell]
Pm  0.247  0.336  0.250 [8 per cell]
Pm  0.247  0.500  0.750 [4 per cell]
Sm  0.000  0.000  0.500 [2 per cell]
Sm  0.000  0.334  0.500 [4 per cell]
Sc  0.000  0.500  0.000 [2 per cell]

---

(11)
K3Sn3Hg8: optimized geometry, PBE.

Calculated values
total magnetic moment	0.00	μB/f.u.
DFT formation energy	-0.172	eV/atom
V	832	Å³/cell

Lattice parameters (Å, degrees): 18.142 5.325 10.101 90.00 121.51 90.00
Space group C2/m (No. 12)
One atom of each set of equivalent atoms:
K  0.000  0.000  0.000 [2 per cell]
K  0.207  0.500  0.714 [4 per cell]
Sn  0.000  0.000  0.500 [2 per cell]
Sn  0.159  0.500  0.307 [4 per cell]
Hg  0.000  0.500  0.332 [4 per cell]
Hg  0.146  0.000  0.855 [4 per cell]
Hg  0.146  0.500  0.007 [4 per cell]
Hg  0.149  0.000  0.432 [4 per cell]

---

(12)
Na2Te3Au2: optimized geometry, PBE.

Calculated values
total magnetic moment	0.00	μB/f.u.
E_form (uncorrected)	-0.42	eV per atom
V	218	Å³/cell

Lattice parameters (Å, degrees): 4.200 6.000 9.298 83.16 89.96 69.53
Space group P-1 (No. 2)
One atom of each set of equivalent atoms:
Na  0.113  0.275  0.205 [2 per cell]
Te  0.000  0.500  0.500 [1 per cell]
Te  0.181  0.137  0.868 [2 per cell]
Au  0.403  0.694  0.308 [2 per cell]